[1]
A plane-wave DFT calculation with PBE was carried out for crystalline GdHoErSc at its relaxed geometry. Values from VASP.

Quantum ESPRESSO input file:
```
&SYSTEM
  ibrav = 0, nat = 4, ntyp = 4
/
ATOMIC_SPECIES
Sc 44.96 Sc.upf
Er 167.26 Er.upf
Gd 157.25 Gd.upf
Ho 164.93 Ho.upf
ATOMIC_POSITIONS crystal
Sc 0.000 0.000 0.000
Er 0.500 0.500 0.500
Gd 0.750 0.750 0.750
Ho 0.250 0.250 0.250
CELL_PARAMETERS angstrom
5.516 0.000 0.000
2.758 4.777 0.000
2.758 1.592 4.503
```

Results
E_form: 0.112 eV per atom



[2]
A plane-wave DFT calculation with PBE was carried out for crystalline CeTcGe at its relaxed geometry. Values from VASP.

Quantum ESPRESSO input file:
```
&SYSTEM
  ibrav = 0, nat = 6, ntyp = 3
/
ATOMIC_SPECIES
Ge 72.64 Ge.upf
Tc 98.00 Tc.upf
Ce 140.12 Ce.upf
ATOMIC_POSITIONS crystal
Ge 0.033 0.873 0.060
Ge 0.425 0.550 0.600
Tc 0.771 0.579 0.878
Tc 0.406 0.870 0.318
Ce 0.635 0.013 0.717
Ce 0.199 0.324 0.278
CELL_PARAMETERS angstrom
3.616 0.000 0.000
1.808 5.097 -0.500
1.808 0.349 6.740
```

Results
Energy above the lowest structure with this stoichiometry: 164.6 meV per atom
E_form: -0.371 eV per atom



[3]
A plane-wave DFT calculation with PBE was carried out for crystalline Cs2NiPdSe4 at its relaxed geometry. Values from VASP.

Quantum ESPRESSO input file:
```
&SYSTEM
  ibrav = 0, nat = 16, ntyp = 4
/
ATOMIC_SPECIES
Cs 132.91 Cs.upf
Ni 58.69 Ni.upf
Pd 106.42 Pd.upf
Se 78.96 Se.upf
ATOMIC_POSITIONS crystal
Cs 0.566 0.500 0.869
Cs 0.184 0.000 0.631
Cs 0.934 0.500 0.131
Cs 0.816 0.000 0.369
Ni 0.500 0.000 0.000
Ni 0.250 0.500 0.500
Pd 0.750 0.500 0.500
Pd 0.000 0.000 0.000
Se 0.449 0.673 0.384
Se 0.301 0.827 0.116
Se 0.167 0.327 0.384
Se 0.244 0.173 0.884
Se 0.583 0.173 0.116
Se 0.872 0.827 0.884
Se 0.878 0.673 0.616
Se 0.506 0.327 0.616
CELL_PARAMETERS angstrom
-0.858 4.917 -3.340
-7.455 1.959 -0.600
0.573 9.258 8.082
```

Results
ΔE_f (raw): -0.5659 eV/atom



[4]
A plane-wave DFT calculation with PBE was carried out for crystalline TcMo2Os at its relaxed geometry. Values from VASP.

Quantum ESPRESSO input file:
```
&SYSTEM
  ibrav = 0, nat = 4, ntyp = 3
/
ATOMIC_SPECIES
Mo 95.94 Mo.upf
Tc 98.00 Tc.upf
Os 190.23 Os.upf
ATOMIC_POSITIONS crystal
Mo 0.247 0.247 0.247
Mo 0.002 0.002 0.002
Tc 0.752 0.752 0.752
Os 0.499 0.499 0.499
CELL_PARAMETERS angstrom
9.414 0.004 0.003
9.010 2.731 0.003
9.010 1.337 2.381
```

Results
Energy above the lowest structure with this stoichiometry: 106.9 meV per atom
E_form: 0.212 eV per atom



[5]
A plane-wave DFT calculation with PBE was carried out for crystalline Ca2CuHg2Pd5 at its relaxed geometry. Values from VASP.

Quantum ESPRESSO input file:
```
&SYSTEM
  ibrav = 0, nat = 20, ntyp = 4
/
ATOMIC_SPECIES
Ca 40.08 Ca.upf
Pd 106.42 Pd.upf
Hg 200.59 Hg.upf
Cu 63.55 Cu.upf
ATOMIC_POSITIONS crystal
Ca 0.000 0.669 0.169
Ca 0.000 0.831 0.669
Ca 0.000 0.331 0.831
Ca 0.000 0.169 0.331
Pd 0.500 0.000 0.500
Pd 0.500 0.814 0.944
Pd 0.500 0.500 0.000
Pd 0.500 0.314 0.556
Pd 0.500 0.056 0.814
Pd 0.500 0.186 0.056
Pd 0.500 0.944 0.186
Pd 0.500 0.686 0.444
Pd 0.500 0.556 0.686
Pd 0.500 0.444 0.314
Hg 0.000 0.633 0.867
Hg 0.000 0.867 0.367
Hg 0.000 0.133 0.633
Hg 0.000 0.367 0.133
Cu 0.000 0.000 0.000
Cu 0.000 0.500 0.500
CELL_PARAMETERS angstrom
3.872 0.000 0.000
0.000 10.095 0.000
0.000 0.000 10.095
```

Results
E_form: -0.345 eV per atom



[6]
A plane-wave DFT calculation with PBE was carried out for crystalline CePaPd2 at its relaxed geometry. Values from VASP.

Quantum ESPRESSO input file:
```
&SYSTEM
  ibrav = 0, nat = 4, ntyp = 3
/
ATOMIC_SPECIES
Ce 140.12 Ce.upf
Pd 106.42 Pd.upf
Pa 231.04 Pa.upf
ATOMIC_POSITIONS crystal
Ce 0.500 0.000 0.000
Pd 0.000 0.500 0.000
Pd 0.000 0.000 0.500
Pa 0.500 0.500 0.500
CELL_PARAMETERS angstrom
-0.705 -4.121 -0.685
1.212 -0.902 4.183
-4.214 0.500 1.329
```

Results
Energy above the lowest structure with this stoichiometry: 40.1 meV per atom
E_form: -0.432 eV per atom



[7]
A plane-wave DFT calculation with PBE was carried out for crystalline AlAsIrBr2 at its relaxed geometry. Values from VASP.

Quantum ESPRESSO input file:
```
&SYSTEM
  ibrav = 0, nat = 5, ntyp = 4
/
ATOMIC_SPECIES
As 74.92 As.upf
Br 79.90 Br.upf
Al 26.98 Al.upf
Ir 192.22 Ir.upf
ATOMIC_POSITIONS crystal
As 0.000 0.000 0.500
Br 0.500 0.000 0.000
Br 0.000 0.500 0.000
Al 0.500 0.500 0.500
Ir 0.000 0.000 0.000
CELL_PARAMETERS angstrom
5.439 0.000 0.000
0.000 5.439 0.000
0.000 0.000 4.600
```

Results
ΔE_f (raw): 0.3262 eV/atom
Energy above the lowest structure with this stoichiometry: 0.0 meV per atom



[8]
A plane-wave DFT calculation with PBE was carried out for crystalline Nb2ZnPd8 at its relaxed geometry. Values from VASP.

Quantum ESPRESSO input file:
```
&SYSTEM
  ibrav = 0, nat = 11, ntyp = 3
/
ATOMIC_SPECIES
Pd 106.42 Pd.upf
Nb 92.91 Nb.upf
Zn 65.41 Zn.upf
ATOMIC_POSITIONS crystal
Pd 0.640 0.875 0.280
Pd 0.360 0.125 0.720
Pd 0.819 0.819 0.639
Pd 0.360 0.595 0.721
Pd 0.181 0.181 0.361
Pd 0.000 0.262 0.000
Pd 0.000 0.738 0.000
Pd 0.640 0.405 0.279
Nb 0.811 0.311 0.622
Nb 0.189 0.689 0.378
Zn 0.500 0.000 0.000
CELL_PARAMETERS angstrom
-3.305 0.632 3.015
-3.945 -1.349 -4.041
4.011 -6.094 2.287
```

Results
E_form: -0.336 eV per atom



What did the eighth record say?
A plane-wave DFT calculation with PBE was carried out for crystalline Nb2ZnPd8 at its relaxed geometry. Values from VASP.

Quantum ESPRESSO input file:
```
&SYSTEM
  ibrav = 0, nat = 11, ntyp = 3
/
ATOMIC_SPECIES
Pd 106.42 Pd.upf
Nb 92.91 Nb.upf
Zn 65.41 Zn.upf
ATOMIC_POSITIONS crystal
Pd 0.640 0.875 0.280
Pd 0.360 0.125 0.720
Pd 0.819 0.819 0.639
Pd 0.360 0.595 0.721
Pd 0.181 0.181 0.361
Pd 0.000 0.262 0.000
Pd 0.000 0.738 0.000
Pd 0.640 0.405 0.279
Nb 0.811 0.311 0.622
Nb 0.189 0.689 0.378
Zn 0.500 0.000 0.000
CELL_PARAMETERS angstrom
-3.305 0.632 3.015
-3.945 -1.349 -4.041
4.011 -6.094 2.287
```

Results
E_form: -0.336 eV per atom



Copy entry 7 word for word.
A plane-wave DFT calculation with PBE was carried out for crystalline AlAsIrBr2 at its relaxed geometry. Values from VASP.

Quantum ESPRESSO input file:
```
&SYSTEM
  ibrav = 0, nat = 5, ntyp = 4
/
ATOMIC_SPECIES
As 74.92 As.upf
Br 79.90 Br.upf
Al 26.98 Al.upf
Ir 192.22 Ir.upf
ATOMIC_POSITIONS crystal
As 0.000 0.000 0.500
Br 0.500 0.000 0.000
Br 0.000 0.500 0.000
Al 0.500 0.500 0.500
Ir 0.000 0.000 0.000
CELL_PARAMETERS angstrom
5.439 0.000 0.000
0.000 5.439 0.000
0.000 0.000 4.600
```

Results
ΔE_f (raw): 0.3262 eV/atom
Energy above the lowest structure with this stoichiometry: 0.0 meV per atom